First-principles (PBE) data for a relaxed ScMn9Nb2 crystal, as listed in Alexandria.

Unit cell a=4.7851 b=4.7851 c=23.7206 alpha=90.00 beta=90.00 gamma=120.00
Space group R-3m (No. 166, hexagonal axes)
Unique sites:
Sc 0.0000 0.0000 0.0000 (multiplicity 3)
Mn 0.0000 0.0000 0.3372 (multiplicity 6)
Mn 0.0000 0.0000 0.5000 (multiplicity 3)
Mn 0.0105 0.5053 0.9161 (multiplicity 18)
Nb 0.0000 0.0000 0.1406 (multiplicity 6)

Results
Formation energy ... -0.080 eV per atom